## Sb2PbAu2 (PBE-GGA)

Data for a geometry-optimized Sb2PbAu2 structure.

The total magnetic moment comes out at 0.00 Bohr magnetons per cell. Its density of states at the Fermi level is 0.487 states/eV per atom. For the distance to the lowest polymorph of the same formula, the calculation gives 8.0 meV/atom. As for the energy relative to the elements, uncorrected: 21 kJ/mol of formula units.

It has space group I4/mmm (No. 139), with a = 4.0792 Å, b = 4.0792 Å, c = 15.4736 Å, α = 90.00°, β = 90.00° and γ = 90.00°. The asymmetric unit holds Sb at (0.0000, 0.0000, 0.1165), Pb at (0.0000, 0.0000, 0.5000) and Au at (0.0000, 0.5000, 0.2500).